No. 1
The following is a GGA-PBE calculation of an optimized crystal structure of DyZr3, from the Open Quantum Materials Database.

The structure in extended XYZ format:
```
8
Lattice="5.739 -3.314 0.000 0.000 6.627 0.000 0.000 0.000 5.231" Properties=species:S:1:pos:R:3 pbc="T T T"
Zr 2.900 -1.604 0.000
Zr 1.974 0.000 2.615
Zr 4.752 -1.604 2.615
Zr 2.900 1.604 0.000
Zr 5.678 0.000 0.000
Zr 4.752 1.604 2.615
Dy 1.913 3.313 2.615
Dy 0.000 0.000 0.000
```

Summary:
The space group is P6_3/mmc (194). For the energy relative to the elements, the calculation gives 0.0465 eV/atom. The calculation puts the total magnetization at 0.001 μB per formula unit. For the raw total energy, the calculation gives -7.514 eV per atom.

=====

No. 2
The following is a GGA-PBE calculation of an optimized crystal structure of Dy2Zr, from the Open Quantum Materials Database.

The structure in extended XYZ format:
```
6
Lattice="4.290 2.477 7.005 -4.290 2.477 7.005 0.000 -4.953 7.005" Properties=species:S:1:pos:R:3 pbc="T T T"
Dy 2.145 1.238 11.384
Dy 0.000 -2.477 11.384
Dy -2.145 1.238 11.384
Dy 0.000 0.000 7.881
Zr 0.000 0.000 10.508
Zr 0.000 0.000 5.254
```

Summary:
The space group is Fd-3m (227). For the energy relative to the elements, the calculation gives 2.4358 eV/atom. The energy above the most stable polymorph in this dataset is 2339.9 meV per atom. The calculation puts the total magnetization at 2.128 μB per formula unit. For the raw total energy, the calculation gives -3.481 eV per atom.

=====

No. 3
The following is a GGA-PBE calculation of an optimized crystal structure of DyZr3, from the Open Quantum Materials Database.

The structure in extended XYZ format:
```
8
Lattice="5.747 0.000 0.000 0.000 6.618 0.000 0.000 0.000 5.238" Properties=species:S:1:pos:R:3 pbc="T T T"
Dy 0.044 0.000 0.000
Dy 1.872 3.309 2.619
Zr 2.908 1.624 0.000
Zr 4.755 4.933 2.619
Zr 5.632 3.309 0.000
Zr 2.908 4.994 0.000
Zr 4.755 1.685 2.619
Zr 2.032 0.000 2.619
```

Summary:
The space group is Pmmn (59). For the energy relative to the elements, the calculation gives 0.0461 eV/atom. The calculation puts the total magnetization at 0.012 μB per formula unit. For the raw total energy, the calculation gives -7.515 eV per atom.

=====

No. 4
The following is a GGA-PBE calculation of an optimized crystal structure of DyZr2, from the Open Quantum Materials Database.

The structure in extended XYZ format:
```
12
Lattice="5.806 0.000 0.000 0.000 10.017 0.000 0.000 0.000 5.276" Properties=species:S:1:pos:R:3 pbc="T T T"
Zr 2.821 1.742 0.000
Zr 0.096 3.339 0.000
Zr 2.017 6.750 2.638
Zr 2.821 4.936 0.000
Zr 2.936 8.347 0.000
Zr 2.017 9.945 2.638
Zr 1.903 3.339 2.638
Zr 4.742 8.347 2.638
Dy 4.807 4.989 2.638
Dy 0.032 9.997 0.000
Dy 4.807 1.689 2.638
Dy 0.032 6.698 0.000
```

Summary:
The space group is Pmmn (59). For the energy relative to the elements, the calculation gives 0.0572 eV/atom. The calculation puts the total magnetization at 0.003 μB per formula unit. For the raw total energy, the calculation gives -7.175 eV per atom.

=====

No. 5
The following is a GGA-PBE calculation of an optimized crystal structure of DyZr2, from the Open Quantum Materials Database.

The structure in extended XYZ format:
```
6
Lattice="-3.374 -3.919 -2.598 1.510 -5.587 0.020 -2.652 -0.701 4.502" Properties=species:S:1:pos:R:3 pbc="T T T"
Zr -2.094 -8.445 0.539
Zr -4.106 -6.163 -0.291
Zr -1.243 -6.337 -1.719
Zr -1.508 -5.455 1.350
Dy 0.000 0.000 0.000
Dy -0.622 -3.168 -0.859
```

Summary:
The space group is P-62m (189). For the energy relative to the elements, the calculation gives 0.0623 eV/atom. The calculation puts the total magnetization at 0.002 μB per formula unit. For the raw total energy, the calculation gives -7.170 eV per atom.

=====

No. 6
The following is a GGA-PBE calculation of an optimized crystal structure of Dy2Zr, from the Open Quantum Materials Database.

The structure in extended XYZ format:
```
6
Lattice="2.421 -7.238 0.000 2.421 7.238 0.000 0.000 0.000 4.797" Properties=species:S:1:pos:R:3 pbc="T T T"
Dy 2.421 6.092 3.598
Dy 2.421 -6.092 1.199
Dy 2.421 -3.621 3.598
Dy 2.421 3.621 1.199
Zr 2.421 1.101 3.598
Zr 2.421 -1.101 1.199
```

Summary:
The space group is Cmcm (63). For the energy relative to the elements, the calculation gives 0.0960 eV/atom. The energy above the most stable polymorph in this dataset is 0.0 meV per atom. The calculation puts the total magnetization at 0.016 μB per formula unit. For the raw total energy, the calculation gives -5.821 eV per atom.

=====

No. 7
The following is a GGA-PBE calculation of an optimized crystal structure of Dy2Zr, from the Open Quantum Materials Database.

The structure in extended XYZ format:
```
6
Lattice="-4.319 -4.502 -0.464 -5.241 0.330 3.401 -5.471 1.189 -2.792" Properties=species:S:1:pos:R:3 pbc="T T T"
Dy -9.394 -1.865 0.091
Dy -7.235 0.387 0.323
Dy -6.774 -2.029 -1.610
Dy -6.658 -2.459 1.486
Zr 0.000 0.000 0.000
Zr -3.758 -0.746 0.036
```

Summary:
The space group is Fd-3m (227). For the energy relative to the elements, the calculation gives 0.5256 eV/atom. The energy above the most stable polymorph in this dataset is 429.7 meV per atom. The calculation puts the total magnetization at 1.609 μB per formula unit. For the raw total energy, the calculation gives -5.391 eV per atom.

=====

No. 8
The following is a GGA-PBE calculation of an optimized crystal structure of DyZr2, from the Open Quantum Materials Database.

The structure in extended XYZ format:
```
12
Lattice="-8.802 -11.773 9.214 2.864 -1.334 1.032 0.014 3.257 4.174" Properties=species:S:1:pos:R:3 pbc="T T T"
Dy -5.908 -10.484 8.199
Dy -3.940 -6.232 8.233
Dy -0.967 0.327 3.106
Dy -2.935 -3.925 3.072
Zr -5.881 -7.866 6.156
Zr -2.996 -6.590 5.151
Zr -0.038 -2.633 2.055
Zr -6.847 -10.120 11.276
Zr -3.878 -3.568 6.154
Zr -0.028 -0.037 0.029
Zr -0.993 -2.292 5.149
Zr -6.837 -7.524 9.251
```

Summary:
The space group is Pmmn (59). For the energy relative to the elements, the calculation gives 0.0741 eV/atom. The calculation puts the total magnetization at 0.048 μB per formula unit. For the raw total energy, the calculation gives -7.158 eV per atom.

=====

No. 9
The following is a GGA-PBE calculation of an optimized crystal structure of DyZr2, from the Open Quantum Materials Database.

The structure in extended XYZ format:
```
6
Lattice="-5.477 -5.088 3.638 -0.448 -7.971 -2.322 2.654 -5.980 5.131" Properties=species:S:1:pos:R:3 pbc="T T T"
Zr 0.100 -10.130 4.984
Zr -3.965 -9.684 4.237
Zr -1.450 -11.125 1.257
Zr -1.227 -7.140 2.418
Dy -0.818 -4.760 1.612
Dy -1.636 -9.520 3.224
```

Summary:
The space group is Fd-3m (227). For the energy relative to the elements, the calculation gives 3.3044 eV/atom. The calculation puts the total magnetization at 0.004 μB per formula unit. For the raw total energy, the calculation gives -3.927 eV per atom.

=====

No. 10
The following is a GGA-PBE calculation of an optimized crystal structure of DyZr2, from the Open Quantum Materials Database.

The structure in extended XYZ format:
```
12
Lattice="17.479 0.000 0.000 0.000 3.316 0.000 0.000 0.000 5.309" Properties=species:S:1:pos:R:3 pbc="T T T"
Zr 1.742 0.000 2.654
Zr 16.560 1.658 2.654
Zr 7.820 0.000 2.654
Zr 10.483 1.658 2.654
Zr 14.765 1.658 0.000
Zr 8.687 1.658 0.000
Zr 17.426 0.000 0.000
Zr 6.025 0.000 0.000
Dy 4.891 1.658 2.654
Dy 2.875 1.658 0.000
Dy 11.616 0.000 0.000
Dy 13.632 0.000 2.654
```

Summary:
The space group is Cmcm (63). For the energy relative to the elements, the calculation gives 0.0436 eV/atom. The calculation puts the total magnetization at 0.003 μB per formula unit. For the raw total energy, the calculation gives -7.188 eV per atom.

=====

No. 11
The following is a GGA-PBE calculation of an optimized crystal structure of DyZr3, from the Open Quantum Materials Database.

The structure in extended XYZ format:
```
8
Lattice="-0.323 6.621 0.350 -5.498 -3.632 0.680 0.793 -0.234 5.163" Properties=species:S:1:pos:R:3 pbc="T T T"
Zr -0.638 1.484 2.813
Zr -5.634 -0.373 0.849
Zr -3.559 2.925 3.327
Zr -2.900 1.495 0.514
Zr -3.402 -0.280 3.158
Zr -5.478 -3.577 0.680
Dy -2.784 -1.818 0.345
Dy -0.754 4.797 2.981
```

Summary:
The space group is Cmcm (63). For the energy relative to the elements, the calculation gives 0.0475 eV/atom. The calculation puts the total magnetization at 0.000 μB per formula unit. For the raw total energy, the calculation gives -7.513 eV per atom.

=====

No. 12
The following is a GGA-PBE calculation of an optimized crystal structure of Dy3Zr4, from the Open Quantum Materials Database.

The structure in extended XYZ format:
```
14
Lattice="-2.474 -3.323 7.894 -1.676 -8.715 0.840 5.142 -0.869 1.246" Properties=species:S:1:pos:R:3 pbc="T T T"
Dy 0.635 -8.333 3.101
Dy -1.676 -5.878 2.816
Dy 1.441 -2.574 3.792
Dy -3.335 -9.169 7.367
Dy -0.805 -2.922 1.286
Dy -0.180 -8.365 6.444
Zr -2.470 -3.417 7.810
Zr -0.152 -5.651 8.221
Zr -2.457 -5.991 5.963
Zr -2.497 -8.894 4.103
Zr 1.457 -5.316 1.814
Zr -1.057 -11.543 7.848
Zr -1.686 -3.168 4.750
Zr 0.632 -5.401 5.161
```

Summary:
The space group is P6_3/m (176). For the energy relative to the elements, the calculation gives 0.0645 eV/atom. The energy above the most stable polymorph in this dataset is 5.9 meV per atom. The calculation puts the total magnetization at 0.017 μB per formula unit. For the raw total energy, the calculation gives -6.792 eV per atom.

=====

How do the records compare in calculated density? In the order shown, they have 7.28 3.10 7.27 7.47 7.49 8.22 7.98 7.50 2.82 7.45 7.28 7.67 g cm⁻³.